1.
Tb8GaPd2: optimized geometry, GGA-PBE.

Cell and atoms, written as POSCAR:
```
Tb8GaPd2
1.0
5.546 0.090 -0.910
-1.866 7.065 -3.137
0.070 -0.247 7.948
Ga Tb Pd
1 8 2
Cartesian
0.480 0.044 -0.055
5.139 1.506 4.501
4.089 5.471 -1.510
0.958 4.521 4.853
0.472 6.355 2.072
2.612 2.398 -0.898
3.094 0.576 1.864
3.355 4.373 2.299
0.330 2.648 1.689
2.232 2.051 4.145
1.474 4.915 -0.198
```

Computed properties:
Space group: Cm, No. 8
Density: 8.37 g/cm³

2.
Tb8GaPd2: optimized geometry, GGA-PBE.

Cell and atoms, written as POSCAR:
```
Tb8GaPd2
1.0
5.123 0.000 0.000
0.000 6.827 0.104
-2.561 -2.810 8.474
Tb Pd Ga
8 2 1
Cartesian
0.000 1.119 3.416
0.000 1.369 6.945
2.561 5.776 3.027
0.000 5.169 0.616
2.561 2.898 5.161
0.000 -1.758 5.551
2.561 -1.152 7.962
2.561 2.649 1.633
2.561 0.088 5.475
0.000 3.930 3.103
2.561 0.000 0.000
```

Computed properties:
Space group: C2/m, No. 12
Density: 8.66 g/cm³

Name the least stable of them. 1.

1.
TbGa3Pd: optimized geometry, GGA-PBE.

Cell and atoms, written as POSCAR:
```
TbGa3Pd
1.0
3.980 -0.002 1.374
-0.476 3.951 1.378
0.098 0.106 6.165
Ga Pd Tb
3 1 1
Cartesian
2.169 3.808 4.710
0.420 1.830 3.334
2.904 2.391 2.589
-0.234 3.339 5.219
1.537 0.846 6.556
```

Computed properties:
Space group: Cm, No. 8
Density: 8.23 g/cm³

2.
TbGa3Pd: optimized geometry, GGA-PBE.

Cell and atoms, written as POSCAR:
```
TbGa3Pd
1.0
-2.945 1.458 -2.685
2.212 -5.740 -5.542
-7.237 -6.857 4.214
Tb Pd Ga
4 4 12
Cartesian
-2.926 -7.161 -2.355
-7.430 -7.511 2.394
-5.043 -3.978 -1.658
-0.540 -3.629 -6.407
-2.361 -2.237 -3.655
-5.608 -8.902 -0.359
-2.770 -6.542 -5.544
-5.199 -4.597 1.530
-4.461 -8.306 -4.647
-3.293 -0.780 -1.841
-3.509 -2.833 0.633
-4.676 -10.360 -2.172
-0.154 -3.572 -3.447
-3.159 -4.571 -4.046
-4.810 -6.568 0.033
-2.021 -3.738 -1.489
-5.948 -7.401 -2.524
-7.815 -7.567 -0.566
-7.635 -5.081 0.585
-0.334 -6.058 -4.599
```

Computed properties:
Space group: Pnma, No. 62
Density: 8.29 g/cm³

Name the least stable of them. 2.

1.
GaTcPd3: optimized geometry, GGA-PBE.

Cell and atoms, written as POSCAR:
```
GaTcPd3
1.0
-4.082 0.443 2.501
-0.728 -4.739 -0.349
2.434 -0.675 4.091
Pd Tc Ga
3 1 1
Cartesian
-2.041 0.222 1.251
1.217 -0.337 2.045
-0.364 -2.370 -0.174
0.000 0.000 0.000
-1.188 -2.485 3.122
```

Computed properties:
Space group: Pm-3m, No. 221
Density: 7.28 g/cm³

2.
GaTcPd3: optimized geometry, GGA-PBE.

Cell and atoms, written as POSCAR:
```
GaTcPd3
1.0
4.603 0.000 0.000
0.000 4.603 0.000
0.000 0.000 4.603
Ga Pd Tc
1 3 1
Cartesian
0.000 0.000 0.000
0.000 0.000 2.302
0.000 2.302 0.000
2.302 0.000 0.000
2.302 2.302 2.302
```

Computed properties:
Space group: Pm-3m, No. 221
Density: 8.29 g/cm³

Name the least stable of them. 1.

1.
GaTc3Pd: optimized geometry, GGA-PBE.

Cell and atoms, written as POSCAR:
```
GaTc3Pd
1.0
4.488 0.000 0.000
0.000 4.488 0.000
0.000 0.000 4.488
Pd Ga Tc
1 1 3
Cartesian
2.244 2.244 2.244
0.000 0.000 0.000
2.244 0.000 0.000
0.000 0.000 2.244
0.000 2.244 0.000
```

Computed properties:
Space group: Pm-3m, No. 221
Density: 8.63 g/cm³

2.
GaTc3Pd: optimized geometry, GGA-PBE.

Cell and atoms, written as POSCAR:
```
GaTc3Pd
1.0
4.753 0.000 0.000
0.000 4.753 0.000
0.000 0.000 4.753
Tc Ga Pd
3 1 1
Cartesian
0.000 2.376 0.000
0.000 0.000 2.376
2.376 0.000 0.000
2.376 2.376 2.376
0.000 0.000 0.000
```

Computed properties:
Space group: Pm-3m, No. 221
Density: 7.27 g/cm³

Name the least stable of them. 2.

1.
GaTePd: optimized geometry, GGA-PBE.

Cell and atoms, written as POSCAR:
```
GaTePd
1.0
4.618 -0.362 -0.088
-0.354 4.618 -0.090
2.000 2.000 6.192
Pd Te Ga
2 2 2
Cartesian
2.536 2.235 2.675
4.097 3.794 4.697
1.081 3.256 0.589
3.555 0.778 0.591
1.837 4.497 3.685
4.796 1.533 3.687
```

Computed properties:
Space group: C2/m, No. 12
Density: 7.58 g/cm³

2.
GaTePd: optimized geometry, GGA-PBE.

Cell and atoms, written as POSCAR:
```
GaTePd
1.0
-1.660 0.456 4.206
-2.286 -3.425 1.924
1.854 -2.322 3.439
Ga Pd Te
1 1 1
Cartesian
0.000 0.000 0.000
-0.523 -1.323 2.392
-1.046 -2.645 4.785
```

Computed properties:
Space group: F-43m, No. 216
Density: 7.60 g/cm³

3.
GaTePd: optimized geometry, GGA-PBE.

Cell and atoms, written as POSCAR:
```
GaTePd
1.0
4.394 0.484 0.561
2.494 7.363 0.172
3.600 3.020 4.891
Ga Te Pd
2 2 2
Cartesian
4.720 5.238 0.967
5.768 5.630 4.657
5.757 7.373 2.126
4.731 3.495 3.499
7.872 6.787 3.923
2.616 4.081 1.702
```

Computed properties:
Space group: P-1, No. 2
Density: 7.22 g/cm³

Name the least stable of them. 1.

1.
GaTePd: optimized geometry, GGA-PBE.

Cell and atoms, written as POSCAR:
```
GaTePd
1.0
3.857 0.000 0.000
0.000 3.857 0.000
-1.928 -1.928 4.184
Ga Pd Te
1 1 1
Cartesian
0.000 0.000 2.339
1.928 1.928 3.830
1.928 1.928 0.944
```

Computed properties:
Space group: I4mm, No. 107
Density: 8.10 g/cm³

2.
GaTePd: optimized geometry, GGA-PBE.

Cell and atoms, written as POSCAR:
```
GaTePd
1.0
4.983 0.000 0.000
0.000 3.879 0.000
0.000 -1.940 3.360
Pd Te Ga
1 1 1
Cartesian
1.573 1.940 1.120
3.138 0.000 2.240
0.272 0.000 0.000
```

Computed properties:
Space group: P3m1, No. 156
Density: 7.77 g/cm³

Name the least stable of them. 1.

1.
GaTe3Pd: optimized geometry, GGA-PBE.

Cell and atoms, written as POSCAR:
```
GaTe3Pd
1.0
-3.898 -0.232 3.673
3.216 -2.818 3.234
1.790 4.555 2.188
Pd Te Ga
1 3 1
Cartesian
0.000 0.000 0.000
1.608 -1.409 1.617
-1.949 -0.116 1.837
0.895 2.277 1.094
0.554 0.752 4.548
```

Computed properties:
Space group: Pm-3m, No. 221
Density: 6.02 g/cm³

2.
GaTe3Pd: optimized geometry, GGA-PBE.

Cell and atoms, written as POSCAR:
```
GaTe3Pd
1.0
-0.400 -3.307 -4.153
5.230 -0.960 0.261
-0.911 -4.061 3.321
Te Pd Ga
3 1 1
Cartesian
-0.456 -2.030 1.660
-0.200 -1.654 -2.077
2.615 -0.480 0.130
1.960 -4.164 -0.286
0.000 0.000 0.000
```

Computed properties:
Space group: Pm-3m, No. 221
Density: 6.15 g/cm³

3.
GaTe3Pd: optimized geometry, GGA-PBE.

Cell and atoms, written as POSCAR:
```
GaTe3Pd
1.0
4.004 0.002 0.002
-0.002 6.380 0.117
-0.003 1.579 5.403
Pd Ga Te
1 1 3
Cartesian
2.048 2.397 3.571
0.045 5.724 1.104
2.046 6.334 4.742
2.048 1.281 1.097
0.045 4.185 3.343
```

Computed properties:
Space group: Pm, No. 6
Density: 6.76 g/cm³

Name the least stable of them. 2.

1.
GaTePd3: optimized geometry, GGA-PBE.

Cell and atoms, written as POSCAR:
```
GaTePd3
1.0
4.673 0.000 0.000
0.000 4.673 0.000
0.000 0.000 4.673
Ga Pd Te
1 3 1
Cartesian
0.000 0.000 0.000
2.336 0.000 0.000
0.000 2.336 0.000
0.000 0.000 2.336
2.336 2.336 2.336
```

Computed properties:
Space group: Pm-3m, No. 221
Density: 8.41 g/cm³

2.
GaTePd3: optimized geometry, GGA-PBE.

Cell and atoms, written as POSCAR:
```
GaTePd3
1.0
-1.165 2.469 1.620
-7.072 -2.104 -1.881
-0.387 -4.273 6.232
Pd Te Ga
6 2 2
Cartesian
-2.333 -2.925 4.335
-0.747 -0.195 1.314
-3.498 -1.013 0.583
-7.877 -3.713 4.657
-5.127 -2.895 5.388
-6.292 -0.982 1.636
-2.797 -0.389 3.246
-5.827 -3.518 2.725
-5.607 -1.083 -0.826
-3.018 -2.824 6.798
```

Computed properties:
Space group: Pmmn, No. 59
Density: 9.38 g/cm³

Name the least stable of them. 1.